Compound: Ca2InCuO4
Source: Alexandria
Functional: GGA-PBE
Structure: relaxed

Output
DFT total energy = -5.71 eV per atom

a = 3.3659 Å, b = 5.8639 Å, c = 5.6022 Å
α = 110.31°, β = 90.00°, γ = 90.00°
Closest atoms and distances in Å follow each position.
Fractional positions:
1 Ca 0.5000 0.0000 0.5000  6 O 2.40-2.48
2 Ca 0.0000 0.5000 0.5000  6 O 2.31-2.35
3 In 0.5000 0.5000 0.0000  6 O 2.22-2.30
4 Cu 0.0000 0.0000 0.0000  6 O 2.36-2.40
5 O 0.5000 0.2640 0.2365  1 In 2.22, 3 Ca 2.35-2.48, 2 Cu 2.36
6 O 0.5000 0.7360 0.7635  1 In 2.22, 3 Ca 2.35-2.48, 2 Cu 2.36
7 O 0.0000 0.2653 0.7560  2 In 2.30, 3 Ca 2.31-2.40, 1 Cu 2.40
8 O 0.0000 0.7347 0.2440  2 In 2.30, 3 Ca 2.31-2.40, 1 Cu 2.40